(1)
Below is KIrPt2 at its PBEsol-relaxed geometry, with properties calculated at the meta-GGA SCAN level.

Calculated values
* space-group type: Cmmm
* energy of formation from the pure elements: 0.41 eV per atom

abc: 2.7060 5.0467 5.0467
angles: 109.27 90.00 90.00
With the nearest neighbours (Å) after each atom.
Fractional positions:
K 0.5000 0.0000 0.0000  2 K 2.71, 8 Pt 2.86, 2 Ir 2.92
Ir 0.5000 0.5000 0.5000  2 Ir 2.71, 8 Pt 2.86, 2 K 2.92
Pt 0.0000 0.0000 0.5000  4 Pt 2.71-2.92, 4 K 2.86, 4 Ir 2.86
Pt 0.0000 0.5000 0.0000  4 Pt 2.71-2.92, 4 Ir 2.86, 4 K 2.86



(2)
Below is KIrPt2 at its PBEsol-relaxed geometry, with properties calculated at the meta-GGA SCAN level.

Calculated values
* space-group type: C2/m
* energy of formation from the pure elements: 0.29 eV per atom

abc: 2.6961 4.5009 6.9494
angles: 94.70 90.00 107.43
With the nearest neighbours (Å) after each atom.
Fractional positions:
Pt 0.7396 0.4792 0.6690  3 Ir 2.61-2.65, 4 Pt 2.70-2.73
Ir 0.0000 0.0000 0.5000  6 Pt 2.61-2.65, 2 Ir 2.70
K 0.5000 0.0000 0.0000  2 K 2.70
Pt 0.2604 0.5208 0.3310  3 Ir 2.61-2.65, 4 Pt 2.70-2.73



(3)
Below is KTeIr2Pt at its PBEsol-relaxed geometry, with properties calculated at the meta-GGA SCAN level.

Calculated values
* space-group type: P4/mmm
* uncorrected formation energy: 1697 meV/atom

abc: 4.7971 4.7971 5.6502
angles: 90.00 90.00 90.00
With the nearest neighbours (Å) after each atom.
Fractional positions:
K 0.0000 0.0000 0.5000  2 Te 2.83
Pt 0.5000 0.5000 0.5000  4 K 3.39, 8 Ir 3.71
Te 0.0000 0.0000 0.0000  4 Ir 2.40
Ir 0.0000 0.5000 0.0000  2 Te 2.40
Ir 0.5000 0.0000 0.0000  2 Te 2.40



(4)
Below is KRe2Ir at its PBEsol-relaxed geometry, with properties calculated at the meta-GGA SCAN level.

Calculated values
* space-group type: P4/mmm
* energy of formation from the pure elements: 0.81 eV per atom

abc: 2.6816 2.6816 9.8332
angles: 90.00 90.00 90.00
With the nearest neighbours (Å) after each atom.
Fractional positions:
Ir 0.5000 0.5000 0.0000  4 Ir 2.68, 8 Re 2.72
K 0.5000 0.5000 0.5000  4 K 2.68
Re 0.0000 0.0000 0.8023  4 Re 2.68, 4 Ir 2.72
Re 0.0000 0.0000 0.1977  4 Re 2.68, 4 Ir 2.72



Taking the records one at a time from the top gives D(E_F) values of 0.5616 0.7612 0.7351 1.0002 states/eV/atom.